Model i:
Density functional theory data (PBE) for a geometry-optimized Pm2Pr7Sm3 structure.

As for the density of states at the Fermi level: 1.5094 states/eV per atom.

Cell and atoms, written as POSCAR:
```
Pm2Pr7Sm3
1.0
-3.4237 3.8946 -2.2866
-4.8216 -2.3457 3.2240
2.8324 8.0114 9.4040
Pr Pm Sm
7 2 3
direct
0.5000 0.2414 0.4491 Pr
0.5000 0.7586 0.5509 Pr
0.5000 0.9151 0.8314 Pr
0.0000 0.0000 0.0000 Pr
0.0000 0.5529 0.8176 Pr
0.5000 0.0849 0.1686 Pr
0.0000 0.4471 0.1824 Pr
0.5000 0.6161 0.2815 Pm
0.5000 0.3839 0.7185 Pm
0.0000 0.9316 0.3428 Sm
0.0000 0.0684 0.6572 Sm
0.5000 0.5000 0.0000 Sm
```

Model ii:
Density functional theory data (PBE) for a geometry-optimized Pm2Pr7Sm3 structure.

As for the density of states at the Fermi level: 1.4618 states/eV per atom.

Cell and atoms, written as POSCAR:
```
Pm2Pr7Sm3
1.0
3.6629 0.0000 0.0000
0.0000 6.0147 0.2732
0.0000 -2.0053 19.3218
Pr Pm Sm
7 2 3
direct
0.0000 0.3237 0.8555 Pr
0.5000 0.8209 0.8194 Pr
0.5000 0.1791 0.1806 Pr
0.0000 0.6763 0.1445 Pr
0.5000 0.2576 0.5359 Pr
0.5000 0.7424 0.4641 Pr
0.0000 0.0000 0.0000 Pr
0.5000 0.2958 0.7035 Pm
0.5000 0.7042 0.2965 Pm
0.5000 0.5000 0.0000 Sm
0.0000 0.2149 0.3674 Sm
0.0000 0.7851 0.6326 Sm
```

What are the relative energies? In eV/atom: model i 0.186; model ii 0.000.

Model i:
Density functional theory data (PBE) for a geometry-optimized Pm7Pr3Sm structure.

As for the density of states at the Fermi level: 1.5372 states/eV per atom.

Cell and atoms, written as POSCAR:
```
Pm7Pr3Sm
1.0
-1.6712 0.8430 8.6417
1.2471 -7.0854 0.9323
5.4505 4.7509 0.5906
Pm Sm Pr
7 1 3
direct
0.1173 0.6657 0.8328 Pm
0.1173 0.1672 0.8328 Pm
0.1233 0.6667 0.3333 Pm
0.4493 0.8329 0.1671 Pm
0.4493 0.8329 0.6658 Pm
0.4493 0.3342 0.1671 Pm
0.1173 0.1672 0.3343 Pm
0.4430 0.3333 0.6667 Sm
0.7830 0.4999 0.5001 Pr
0.7830 0.0001 0.5001 Pr
0.7830 0.4999 0.9999 Pr
```

Model ii:
Density functional theory data (PBE) for a geometry-optimized Pm7Pr3Sm structure.

As for the density of states at the Fermi level: 1.3968 states/eV per atom.

Cell and atoms, written as POSCAR:
```
Pm7Pr3Sm
1.0
6.5064 0.0164 0.4398
0.4299 7.7639 1.0985
-0.0009 0.0349 7.8614
Pm Pr Sm
7 3 1
direct
0.2132 0.7609 0.7610 Pm
0.7387 0.5721 0.9171 Pm
0.7387 0.9174 0.5722 Pm
0.7868 0.2391 0.2390 Pm
0.2613 0.0826 0.4278 Pm
0.0000 0.5000 0.5000 Pm
0.2613 0.4279 0.0829 Pm
0.9996 0.8264 0.1735 Pr
0.0004 0.1736 0.8265 Pr
0.5000 0.0000 0.0000 Pr
0.5000 0.5000 0.5000 Sm
```

What are the relative energies? In eV/atom: model i 0.000; model ii 0.048.

Model i:
Density functional theory data (PBE) for a geometry-optimized Pm3Pr5Sm2 structure.

As for the density of states at the Fermi level: 1.5335 states/eV per atom.

Cell and atoms, written as POSCAR:
```
Pm3Pr5Sm2
1.0
-6.9095 -0.4096 0.4378
-2.5227 -3.3357 11.9994
-3.1701 6.1518 10.6574
Pm Sm Pr
6 4 10
direct
0.6222 0.6292 0.1265 Pm
0.3778 0.3708 0.8735 Pm
0.1222 0.1265 0.6292 Pm
0.2500 0.0000 0.0000 Pm
0.7500 0.0000 0.0000 Pm
0.8778 0.8735 0.3708 Pm
0.1231 0.7852 0.9685 Sm
0.6231 0.9685 0.7852 Sm
0.8769 0.2148 0.0315 Sm
0.3769 0.0315 0.2148 Sm
0.2500 0.5000 0.5000 Pr
0.8740 0.5267 0.7252 Pr
0.3740 0.7252 0.5267 Pr
0.0016 0.2484 0.2484 Pr
0.5016 0.2484 0.2484 Pr
0.6260 0.2748 0.4733 Pr
0.9984 0.7516 0.7516 Pr
0.4984 0.7516 0.7516 Pr
0.1260 0.4733 0.2748 Pr
0.7500 0.5000 0.5000 Pr
```

Model ii:
Density functional theory data (PBE) for a geometry-optimized Pm3Pr5Sm2 structure.

As for the density of states at the Fermi level: 1.7434 states/eV per atom.

Cell and atoms, written as POSCAR:
```
Pm3Pr5Sm2
1.0
-5.7980 -3.6634 -7.5808
2.4008 -9.4686 -3.0185
-3.0954 3.7473 10.3283
Sm Pm Pr
4 6 10
direct
0.5292 0.2752 0.2472 Sm
0.2180 0.9720 0.2472 Sm
0.7820 0.0280 0.7528 Sm
0.4708 0.7248 0.7528 Sm
0.2759 0.5305 0.7502 Pm
0.7241 0.4695 0.2498 Pm
0.7699 0.0199 0.0398 Pm
0.2301 0.9801 0.9602 Pm
0.0257 0.7803 0.2498 Pm
0.9743 0.2197 0.7502 Pm
0.1272 0.3764 0.2477 Pr
0.3795 0.1286 0.7523 Pr
0.7281 0.4781 0.9562 Pr
0.4801 0.7301 0.4602 Pr
0.2719 0.5219 0.0438 Pr
0.9790 0.2290 0.4580 Pr
0.0210 0.7710 0.5420 Pr
0.6205 0.8714 0.2477 Pr
0.5199 0.2699 0.5398 Pr
0.8728 0.6236 0.7523 Pr
```

What are the relative energies? In eV/atom: model i 0.173; model ii 0.000.

Model i:
Density functional theory data (PBE) for a geometry-optimized Pm2PrSm structure.

As for the density of states at the Fermi level: 1.4389 states/eV per atom.

Cell and atoms, written as POSCAR:
```
Pm2PrSm
1.0
3.6603 0.0000 0.0000
1.8301 3.1699 0.0000
1.8301 1.0566 11.9645
Pr Pm Sm
1 2 1
direct
0.5000 0.5000 0.5000 Pr
0.7491 0.7491 0.7526 Pm
0.2509 0.2509 0.2474 Pm
0.0000 0.0000 0.0000 Sm
```

Model ii:
Density functional theory data (PBE) for a geometry-optimized Pm2PrSm structure.

As for the density of states at the Fermi level: 2.2732 states/eV per atom.

Cell and atoms, written as POSCAR:
```
Pm2PrSm
1.0
-0.9918 -1.5498 3.2581
5.6244 -2.2188 0.6566
-0.6530 6.9658 0.9661
Sm Pm Pr
1 2 1
direct
0.4971 0.4971 0.9943 Sm
0.0029 0.0029 0.0058 Pm
0.7512 0.2512 0.5023 Pm
0.2488 0.7488 0.4976 Pr
```

Model iii:
Density functional theory data (PBE) for a geometry-optimized Pm2PrSm structure.

As for the density of states at the Fermi level: 2.7361 states/eV per atom.

Cell and atoms, written as POSCAR:
```
Pm2PrSm
1.0
-5.3666 -0.8732 -2.0627
-3.8528 -3.0445 3.1153
-4.5323 2.6931 2.4544
Pm Sm Pr
2 1 1
direct
0.2500 0.2500 0.2500 Pm
0.7500 0.7500 0.7500 Pm
0.5000 0.5000 0.5000 Sm
0.0000 0.0000 0.0000 Pr
```

What are the relative energies? In eV/atom: model i 0.000; model ii 0.098; model iii 0.125.

Model i:
Density functional theory data (PBE) for a geometry-optimized Pm2PrSm structure.

As for the density of states at the Fermi level: 1.6598 states/eV per atom.

Cell and atoms, written as POSCAR:
```
Pm2PrSm
1.0
5.1749 0.0000 0.0000
0.0000 5.1731 0.0000
0.0000 0.0000 5.1731
Sm Pr Pm
1 1 2
direct
0.5000 0.0000 0.0000 Sm
0.5000 0.5000 0.5000 Pr
0.0000 0.5000 0.0000 Pm
0.0000 0.0000 0.5000 Pm
```

Model ii:
Density functional theory data (PBE) for a geometry-optimized Pm2PrSm structure.

As for the density of states at the Fermi level: 1.3770 states/eV per atom.

Cell and atoms, written as POSCAR:
```
Pm2PrSm
1.0
3.5898 0.0000 0.0000
0.0000 5.7078 0.0000
-1.7949 0.0000 6.7801
Sm Pr Pm
1 1 2
direct
0.4473 0.0000 0.8946 Sm
0.8043 0.5000 0.6085 Pr
0.1869 0.0000 0.3737 Pm
0.0616 0.5000 0.1231 Pm
```

What are the relative energies? In eV/atom: model i 0.000; model ii 0.030.

Model i:
Density functional theory data (PBE) for a geometry-optimized Pm2PrSm structure.

As for the density of states at the Fermi level: 2.3234 states/eV per atom.

Cell and atoms, written as POSCAR:
```
Pm2PrSm
1.0
-2.6777 0.1887 -3.3894
-2.9860 -2.1844 2.2374
-2.7662 6.3839 2.5408
Sm Pm Pr
1 2 1
direct
0.5000 0.5000 0.0000 Sm
0.0000 0.0000 0.7527 Pm
0.0000 0.0000 0.2473 Pm
0.5000 0.5000 0.5000 Pr
```

Model ii:
Density functional theory data (PBE) for a geometry-optimized Pm2PrSm structure.

As for the density of states at the Fermi level: 1.3502 states/eV per atom.

Cell and atoms, written as POSCAR:
```
Pm2PrSm
1.0
3.6630 0.0000 0.0000
0.0000 3.6630 0.0000
0.0000 0.0000 10.3467
Sm Pm Pr
1 2 1
direct
0.5000 0.5000 0.5000 Sm
0.0000 0.0000 0.7471 Pm
0.0000 0.0000 0.2529 Pm
0.5000 0.5000 0.0000 Pr
```

What are the relative energies? In eV/atom: model i 0.098; model ii 0.000.

Model i:
Density functional theory data (PBE) for a geometry-optimized Pm6Pr3Sm structure.

As for the density of states at the Fermi level: 1.3376 states/eV per atom.

Cell and atoms, written as POSCAR:
```
Pm6Pr3Sm
1.0
6.5079 0.0000 0.0000
0.0000 11.0558 -1.7356
0.0000 -4.1589 10.3897
Pr Pm Sm
6 12 2
direct
0.0830 0.3846 0.6154 Pr
0.9621 0.0587 0.2931 Pr
0.5830 0.6154 0.3846 Pr
0.9621 0.7069 0.9413 Pr
0.4621 0.9413 0.7069 Pr
0.4621 0.2931 0.0587 Pr
0.8576 0.0343 0.9657 Pm
0.1497 0.7225 0.2775 Pm
0.0565 0.3712 0.2879 Pm
0.5565 0.2879 0.3712 Pm
0.6497 0.2775 0.7225 Pm
0.3733 0.5266 0.9429 Pm
0.0565 0.7121 0.6288 Pm
0.5565 0.6288 0.7121 Pm
0.3733 0.0571 0.4734 Pm
0.8733 0.4734 0.0571 Pm
0.3576 0.9657 0.0343 Pm
0.8733 0.9429 0.5266 Pm
0.1113 0.1899 0.8101 Sm
0.6113 0.8101 0.1899 Sm
```

Model ii:
Density functional theory data (PBE) for a geometry-optimized Pm6Pr3Sm structure.

As for the density of states at the Fermi level: 1.8036 states/eV per atom.

Cell and atoms, written as POSCAR:
```
Pm6Pr3Sm
1.0
-1.7201 4.1754 -5.4718
-9.8465 -8.0264 -3.0295
1.7466 2.6083 6.0406
Pm Pr Sm
6 3 1
direct
0.3306 0.9923 0.6612 Pm
0.7147 0.6886 0.8868 Pm
0.2853 0.3114 0.1132 Pm
0.1720 0.6886 0.8868 Pm
0.8280 0.3114 0.1132 Pm
0.6694 0.0077 0.3388 Pm
0.1960 0.6603 0.3921 Pr
0.0000 0.0000 0.0000 Pr
0.8040 0.3397 0.6079 Pr
0.5000 0.5000 0.0000 Sm
```

What are the relative energies? In eV/atom: model i 0.000; model ii 0.115.

Model i:
Density functional theory data (PBE) for a geometry-optimized PmPr2Sm9 structure.

As for the density of states at the Fermi level: 1.6185 states/eV per atom.

Cell and atoms, written as POSCAR:
```
PmPr2Sm9
1.0
-1.9045 2.5890 4.0249
-4.0521 1.4323 -2.8388
-7.6387 -12.6486 4.5218
Sm Pr Pm
9 2 1
direct
0.5000 0.5000 0.3328 Sm
0.5000 0.0000 0.8343 Sm
0.0000 0.5000 0.1657 Sm
0.5000 0.5000 0.0000 Sm
0.5000 0.5000 0.6672 Sm
0.5000 0.0000 0.1657 Sm
0.0000 0.5000 0.8343 Sm
0.5000 0.0000 0.5000 Sm
0.0000 0.5000 0.5000 Sm
0.0000 0.0000 0.6671 Pr
0.0000 0.0000 0.3329 Pr
0.0000 0.0000 0.0000 Pm
```

Model ii:
Density functional theory data (PBE) for a geometry-optimized PmPr2Sm9 structure.

As for the density of states at the Fermi level: 1.2813 states/eV per atom.

Cell and atoms, written as POSCAR:
```
PmPr2Sm9
1.0
-1.3519 1.2206 3.0542
2.7352 -9.9317 5.1799
7.5593 8.7058 -0.1331
Sm Pm Pr
9 1 2
direct
0.5000 0.6542 0.8271 Sm
0.0000 0.5000 0.0000 Sm
0.5000 0.3458 0.1729 Sm
0.5000 0.1729 0.8271 Sm
0.0000 0.0000 0.5000 Sm
0.0000 0.5000 0.5000 Sm
0.5000 0.8271 0.1729 Sm
0.5000 0.8271 0.6542 Sm
0.5000 0.1729 0.3458 Sm
0.0000 0.0000 0.0000 Pm
0.0000 0.3333 0.6667 Pr
0.0000 0.6667 0.3333 Pr
```

What are the relative energies? In eV/atom: model i 0.000; model ii 0.032.

Model i:
Density functional theory data (PBE) for a geometry-optimized PmPr12Sm6 structure.

As for the density of states at the Fermi level: 1.4535 states/eV per atom.

Cell and atoms, written as POSCAR:
```
PmPr12Sm6
1.0
-2.4724 -2.2644 8.9777
-5.4862 -4.8864 -6.1533
9.2028 -2.2504 -1.4431
Pr Sm Pm
12 6 1
direct
0.7369 0.9348 0.1979 Pr
0.8021 0.7369 0.5390 Pr
0.2631 0.4610 0.1979 Pr
0.4610 0.1979 0.2631 Pr
0.8021 0.2631 0.0652 Pr
0.5390 0.8021 0.7369 Pr
0.7369 0.5390 0.8021 Pr
0.1979 0.7369 0.9348 Pr
0.9348 0.1979 0.7369 Pr
0.0652 0.8021 0.2631 Pr
0.2631 0.0652 0.8021 Pr
0.1979 0.2631 0.4610 Pr
0.1431 0.6431 0.5000 Sm
0.5000 0.1431 0.6431 Sm
0.8569 0.3569 0.5000 Sm
0.5000 0.8569 0.3569 Sm
0.6431 0.5000 0.1431 Sm
0.3569 0.5000 0.8569 Sm
0.0000 0.0000 0.0000 Pm
```

Model ii:
Density functional theory data (PBE) for a geometry-optimized PmPr12Sm6 structure.

As for the density of states at the Fermi level: 1.8358 states/eV per atom.

Cell and atoms, written as POSCAR:
```
PmPr12Sm6
1.0
-3.5251 -9.3032 0.0510
0.7079 3.4873 -9.2907
8.7694 0.5092 4.6709
Sm Pr Pm
6 12 1
direct
0.2640 0.6445 0.6445 Sm
0.6445 0.6445 0.2640 Sm
0.3555 0.3555 0.7360 Sm
0.6445 0.2640 0.6445 Sm
0.7360 0.3555 0.3555 Sm
0.3555 0.7360 0.3555 Sm
0.1080 0.5000 0.8920 Pr
0.5000 0.1080 0.8920 Pr
0.0041 0.2594 0.2594 Pr
0.8920 0.1080 0.5000 Pr
0.1080 0.8920 0.5000 Pr
0.2594 0.0041 0.2594 Pr
0.5000 0.8920 0.1080 Pr
0.7406 0.7406 0.9959 Pr
0.7406 0.9959 0.7406 Pr
0.2594 0.2594 0.0041 Pr
0.8920 0.5000 0.1080 Pr
0.9959 0.7406 0.7406 Pr
0.0000 0.0000 0.0000 Pm
```

What are the relative energies? In eV/atom: model i 0.000; model ii 0.180.

Model i:
Density functional theory data (PBE) for a geometry-optimized Pm3Pr2Sm5 structure.

As for the density of states at the Fermi level: 1.7311 states/eV per atom.

Cell and atoms, written as POSCAR:
```
Pm3Pr2Sm5
1.0
-5.6432 -5.7147 -4.8177
-4.9758 -5.0587 6.1022
-0.6544 11.2665 -0.6310
Pr Sm Pm
4 10 6
direct
0.4758 0.7284 0.7483 Pr
0.5242 0.2716 0.2517 Pr
0.7724 0.0199 0.7483 Pr
0.2276 0.9801 0.2517 Pr
0.7233 0.4733 0.9466 Sm
0.1277 0.3798 0.2520 Sm
0.0263 0.7763 0.5525 Sm
0.4728 0.7228 0.4455 Sm
0.3757 0.1278 0.7480 Sm
0.9737 0.2237 0.4475 Sm
0.5272 0.2772 0.5545 Sm
0.6243 0.8722 0.2520 Sm
0.8723 0.6202 0.7480 Sm
0.2767 0.5267 0.0534 Sm
0.7753 0.0253 0.0505 Pm
0.2247 0.9747 0.9495 Pm
0.9798 0.2275 0.7500 Pm
0.2702 0.5225 0.7500 Pm
0.7298 0.4775 0.2500 Pm
0.0202 0.7725 0.2500 Pm
```

Model ii:
Density functional theory data (PBE) for a geometry-optimized Pm3Pr2Sm5 structure.

As for the density of states at the Fermi level: 1.5206 states/eV per atom.

Cell and atoms, written as POSCAR:
```
Pm3Pr2Sm5
1.0
6.9441 0.0000 0.0000
3.4720 11.7085 2.9090
3.4720 5.9118 10.5167
Pm Pr Sm
6 4 10
direct
0.1258 0.1247 0.6237 Pm
0.3742 0.3763 0.8753 Pm
0.8742 0.8753 0.3763 Pm
0.7500 0.0000 0.0000 Pm
0.6258 0.6237 0.1247 Pm
0.2500 0.0000 0.0000 Pm
0.6237 0.9774 0.7752 Pr
0.3763 0.0226 0.2248 Pr
0.1237 0.7752 0.9774 Pr
0.8763 0.2248 0.0226 Pr
0.9993 0.7507 0.7507 Sm
0.4993 0.7507 0.7507 Sm
0.6263 0.2829 0.4645 Sm
0.2500 0.5000 0.5000 Sm
0.7500 0.5000 0.5000 Sm
0.5007 0.2493 0.2493 Sm
0.0007 0.2493 0.2493 Sm
0.3737 0.7171 0.5355 Sm
0.8737 0.5355 0.7171 Sm
0.1263 0.4645 0.2829 Sm
```

What are the relative energies? In eV/atom: model i 0.000; model ii 0.183.